Compound: Cs2Mn3CoF12
Source: the Alexandria database
Functional: GGA+U
Structure: optimized geometry

Structure (POSCAR):
```
Cs2Mn3CoF12
1.0
3.7658 2.1742 6.2563
-3.7658 2.1742 6.2563
0.0000 -4.3484 6.2563
Cs Mn Co F
2 3 1 12
Direct
0.1273 0.1273 0.1273
0.8727 0.8727 0.8727
0.0000 0.5000 0.5000
0.5000 0.0000 0.5000
0.5000 0.5000 0.0000
0.5000 0.5000 0.5000
0.1804 0.1804 0.5646
0.1804 0.5646 0.1804
0.1944 0.5689 0.5689
0.4311 0.4311 0.8056
0.4311 0.8056 0.4311
0.4354 0.8196 0.8196
0.5646 0.1804 0.1804
0.5689 0.1944 0.5689
0.5689 0.5689 0.1944
0.8056 0.4311 0.4311
0.8196 0.4354 0.8196
0.8196 0.8196 0.4354
```

Calculated values
The calculation puts the total energy at -97.9 eV/f.u. For the total magnetization, the calculation gives 1.00 μB per atom. For the density of states at the Fermi level, the calculation gives 0.166 states/eV/atom.